The following is a DFT calculation (PBE) of a geometry-optimized Zr2MnAu structure.

```
4
Lattice="-2.1203 2.1203 4.2261 2.1203 -2.1203 4.2261 2.1203 2.1203 -4.2261" Properties=species:S:1:pos:R:3 pbc="T T T"
Zr 2.1203 0.0000 2.1131
Zr 0.0000 2.1203 2.1131
Mn 0.0000 0.0000 0.0000
Au 0.0000 0.0000 4.2261
```

Summary:
calculated formation energy	-0.174	eV/atom
distance to the lowest polymorph of the same formula	0.126	eV/atom
symmetry	I4/mmm (139)

---

The following is a DFT calculation (PBE) of a geometry-optimized Tm2LuZr structure.

```
4
Lattice="1.6969 0.9797 11.1419 -1.6969 0.9797 11.1419 0.0000 -1.9595 11.1419" Properties=species:S:1:pos:R:3 pbc="T T T"
Tm 0.0000 0.0000 8.2148
Tm 0.0000 0.0000 25.2109
Lu 0.0000 0.0000 0.0000
Zr 0.0000 0.0000 16.7129
```

Summary:
calculated formation energy	0.069	eV/atom
distance to the lowest polymorph of the same formula	0.000	eV/atom
symmetry	R-3m (166)